[1]
## KScTi (PBE)

Data for an optimized crystal structure of KScTi.

Cell lengths 3.2432, 5.5620, 12.0628 Å; angles 81.66, 87.13, 73.38 degrees
Space group P1 (No. 1)
Unique sites:
K 0.0000 0.0000 0.0000 (multiplicity 1)
K 0.4294 0.4112 0.2935 (multiplicity 1)
Sc 0.1649 0.8514 0.5363 (multiplicity 1)
Sc 0.8888 0.3708 0.5944 (multiplicity 1)
Ti 0.2676 0.5498 0.7682 (multiplicity 1)
Ti 0.5619 0.9838 0.7278 (multiplicity 1)

Output
Energy relative to the elements: 136 kJ/mol of formula units
Fermi-level density of states: 1.145 states/eV/atom

=====

[2]
## Dy2ErScO6 (PBE)

Data for an optimized crystal structure of Dy2ErScO6.

Cell lengths 5.6891, 5.6891, 14.8575 Å; angles 90.00, 90.00, 120.00 degrees
Space group R3 (No. 146, hexagonal axes)
Unique sites:
Dy 0.0000 0.0000 0.0000 (multiplicity 3)
Dy 0.0000 0.0000 0.4982 (multiplicity 3)
Er 0.0000 0.0000 0.2178 (multiplicity 3)
Sc 0.0000 0.0000 0.7139 (multiplicity 3)
O 0.0473 0.3532 0.7771 (multiplicity 9)
O 0.0528 0.6792 0.2798 (multiplicity 9)

Output
Raw formation energy: -3539 meV per atom
Fermi-level density of states: 0.000 states/eV/atom